Entry 1
CoIr2Rh6: optimized geometry, GGA-PBE.

```
CoIr2Rh6
1.0
-1.3385 3.6231 6.7267
1.3385 -3.6231 6.7267
1.3385 3.6231 -6.7267
Co Ir Rh
1 2 6
direct
0.0000 0.0000 0.0000
0.3107 0.5000 0.8107
0.6893 0.5000 0.1893
0.0012 0.6747 0.3265
0.3482 0.6747 0.6735
0.3569 0.8569 0.5000
0.6431 0.1431 0.5000
0.6518 0.3253 0.3265
0.9988 0.3253 0.6735
```

Space group: Immm (71)
V, A^3/atom: 14.498
Crystal system: orthorhombic

Entry 2
CoIr2Rh6: optimized geometry, GGA-PBE.

```
CoIr2Rh6
1.0
3.5331 -2.3139 0.0000
3.5331 2.3139 0.0000
-1.4925 0.0000 7.8978
Co Ir Rh
1 2 6
direct
0.0000 0.0000 0.0000
0.3337 0.3337 0.5518
0.6663 0.6663 0.4482
0.0040 0.0040 0.3279
0.3308 0.3308 0.8934
0.3377 0.3377 0.2209
0.6623 0.6623 0.7791
0.6692 0.6692 0.1066
0.9960 0.9960 0.6721
```

Space group: C2/m (12)
V, A^3/atom: 14.348
Crystal system: monoclinic

The structure with the least stability is entry 2.

Entry 1
Co2Ir7Rh2: optimized geometry, GGA-PBE.

```
Co2Ir7Rh2
1.0
4.4876 -4.4108 0.0000
4.4876 4.4108 0.0000
-2.4550 0.0000 4.0277
Co Ir Rh
2 7 2
direct
0.2101 0.2101 0.0027
0.7899 0.7899 0.9973
0.0803 0.5720 0.8223
0.1218 0.1218 0.4177
0.4280 0.9197 0.1777
0.5000 0.5000 0.0000
0.5720 0.0803 0.8223
0.8782 0.8782 0.5823
0.9197 0.4280 0.1777
0.3342 0.6658 0.5000
0.6658 0.3342 0.5000
```

Space group: C2/m (12)
V, A^3/atom: 14.496
Crystal system: monoclinic

Entry 2
Co2Ir7Rh2: optimized geometry, GGA-PBE.

```
Co2Ir7Rh2
1.0
4.6618 -3.8490 0.0000
4.6618 3.8490 0.0000
-0.7902 0.0000 4.5752
Co Ir Rh
2 7 2
direct
0.2388 0.2388 0.2535
0.7612 0.7612 0.7465
0.0000 0.0000 0.5000
0.0538 0.4100 0.7433
0.4100 0.0538 0.7433
0.4609 0.4609 0.7294
0.5391 0.5391 0.2706
0.5900 0.9462 0.2567
0.9462 0.5900 0.2567
0.1807 0.8193 0.0000
0.8193 0.1807 0.0000
```

Space group: C2/m (12)
V, A^3/atom: 14.926
Crystal system: monoclinic

The structure with the least stability is entry 2.

Entry 1
Co2IrRh2: optimized geometry, GGA-PBE.

```
Co2IrRh2
1.0
6.9941 0.0000 0.0000
0.0000 6.4224 0.0000
-1.5109 0.0000 6.0521
Co Ir Rh
8 4 8
direct
0.0087 0.0039 0.1905
0.0087 0.4961 0.6905
0.3589 0.5668 0.3896
0.3589 0.9332 0.8896
0.6411 0.0668 0.1104
0.6411 0.4332 0.6104
0.9913 0.5039 0.3095
0.9913 0.9961 0.8095
0.3918 0.5494 0.8089
0.3918 0.9506 0.3089
0.6082 0.0494 0.6911
0.6082 0.4506 0.1911
0.1441 0.6860 0.0395
0.1441 0.8140 0.5395
0.2459 0.2268 0.5556
0.2459 0.2732 0.0556
0.7541 0.7268 0.9444
0.7541 0.7732 0.4444
0.8559 0.1860 0.4605
0.8559 0.3140 0.9605
```

Space group: P2_1/c (14)
V, A^3/atom: 13.593
Crystal system: monoclinic

Entry 2
Co2IrRh2: optimized geometry, GGA-PBE.

```
Co2IrRh2
1.0
6.9875 0.0000 0.0000
0.0000 6.9875 0.0000
0.0000 0.0000 2.7524
Co Ir Rh
4 2 4
direct
0.1202 0.3798 0.0000
0.3798 0.8798 0.0000
0.6202 0.1202 0.0000
0.8798 0.6202 0.0000
0.0000 0.0000 0.0000
0.5000 0.5000 0.0000
0.1767 0.6767 0.5000
0.3233 0.1767 0.5000
0.6767 0.8233 0.5000
0.8233 0.3233 0.5000
```

Space group: P4/mbm (127)
V, A^3/atom: 13.439
Crystal system: tetragonal

Entry 3
Co2IrRh2: optimized geometry, GGA-PBE.

```
Co2IrRh2
1.0
3.8316 -2.3617 0.0000
3.8316 2.3617 0.0000
-2.2231 0.0000 3.9330
Co Ir Rh
2 1 2
direct
0.0000 0.5000 0.0000
0.5000 0.0000 0.0000
0.0000 0.0000 0.5000
0.3780 0.3780 0.6242
0.6220 0.6220 0.3758
```

Space group: C2/m (12)
V, A^3/atom: 14.236
Crystal system: monoclinic

Entry 4
Co2IrRh2: optimized geometry, GGA-PBE.

```
Co2IrRh2
1.0
-1.8134 1.8134 5.4496
1.8134 -1.8134 5.4496
1.8134 1.8134 -5.4496
Co Ir Rh
2 1 2
direct
0.0967 0.0967 0.0000
0.9033 0.9033 0.0000
0.5000 0.5000 0.0000
0.2500 0.7500 0.5000
0.7500 0.2500 0.5000
```

Space group: I4/mmm (139)
V, A^3/atom: 14.337
Crystal system: tetragonal

The structure with the least stability is entry 4.

Entry 1
Co2Ir2Rh7: optimized geometry, GGA-PBE.

```
Co2Ir2Rh7
1.0
2.6403 -4.4943 0.0000
2.6403 4.4943 0.0000
-1.3404 0.0000 6.7471
Co Ir Rh
2 2 7
direct
0.1993 0.8007 0.0000
0.8007 0.1993 0.0000
0.0379 0.0379 0.6980
0.9621 0.9621 0.3020
0.0470 0.5269 0.3202
0.3504 0.3504 0.1100
0.4731 0.9530 0.6798
0.5000 0.5000 0.5000
0.5269 0.0470 0.3202
0.6496 0.6496 0.8900
0.9530 0.4731 0.6798
```

Space group: C2/m (12)
V, A^3/atom: 14.557
Crystal system: monoclinic

Entry 2
Co2Ir2Rh7: optimized geometry, GGA-PBE.

```
Co2Ir2Rh7
1.0
-1.8790 3.8944 5.4041
1.8790 -3.8944 5.4041
1.8790 3.8944 -5.4041
Co Ir Rh
2 2 7
direct
0.2332 0.0000 0.2332
0.7668 0.0000 0.7668
0.1763 0.1763 0.0000
0.8237 0.8237 0.0000
0.0000 0.5000 0.5000
0.0887 0.3385 0.7502
0.3587 0.8587 0.5000
0.4116 0.6615 0.7502
0.5884 0.3385 0.2498
0.6413 0.1413 0.5000
0.9113 0.6615 0.2498
```

Space group: Immm (71)
V, A^3/atom: 14.379
Crystal system: orthorhombic

The structure with the least stability is entry 1.

Entry 1
CoIr2Rh4: optimized geometry, GGA-PBE.

```
CoIr2Rh4
1.0
-3.1595 3.1595 2.7382
3.1595 -3.1595 2.7382
3.1595 3.1595 -2.7382
Co Ir Rh
1 2 4
direct
0.0000 0.0000 0.0000
0.0000 0.5000 0.5000
0.5000 0.0000 0.5000
0.0000 0.0000 0.5000
0.0000 0.5000 0.0000
0.5000 0.0000 0.0000
0.5000 0.5000 0.5000
```

Space group: I4/mmm (139)
V, A^3/atom: 15.619
Crystal system: tetragonal

Entry 2
CoIr2Rh4: optimized geometry, GGA-PBE.

```
CoIr2Rh4
1.0
0.0000 5.9380 5.9380
5.9380 0.0000 5.9380
5.9380 5.9380 0.0000
Co Ir Rh
4 8 16
direct
0.0000 0.0000 0.0000
0.0000 0.0000 0.5000
0.0000 0.5000 0.0000
0.5000 0.0000 0.0000
0.2780 0.2780 0.2780
0.2780 0.2780 0.6659
0.2780 0.6659 0.2780
0.3341 0.7220 0.7220
0.6659 0.2780 0.2780
0.7220 0.3341 0.7220
0.7220 0.7220 0.3341
0.7220 0.7220 0.7220
0.0000 0.5000 0.5000
0.0952 0.0952 0.6548
0.0952 0.6548 0.0952
0.0952 0.6548 0.6548
0.3452 0.3452 0.9048
0.3452 0.9048 0.3452
0.3452 0.9048 0.9048
0.5000 0.0000 0.5000
0.5000 0.5000 0.0000
0.5000 0.5000 0.5000
0.6548 0.0952 0.0952
0.6548 0.0952 0.6548
0.6548 0.6548 0.0952
0.9048 0.3452 0.3452
0.9048 0.3452 0.9048
0.9048 0.9048 0.3452
```

Space group: Fd-3m (227)
V, A^3/atom: 14.955
Crystal system: cubic

The structure with the least stability is entry 1.